The following is a DFT calculation (PBE-GGA) of a relaxed LiIn5Pb6 crystal.

Lattice parameters (Å, degrees): 4.9374 9.5617 14.5809 90.00 90.00 90.00
Space group Immm (No. 71)
Asymmetric unit:
1 Li 0.0000 0.0000 0.0000 (multiplicity 2)
2 In 0.0000 0.0000 0.3429 (multiplicity 4)
3 In 0.0000 0.5000 0.0000 (multiplicity 2)
4 In 0.0000 0.5000 0.3255 (multiplicity 4)
5 Pb 0.0000 0.2397 0.1643 (multiplicity 8)
6 Pb 0.0000 0.2715 0.5000 (multiplicity 4)

Properties
Calculated total energy: -3.17 eV per atom
N(E_F): 0.463 states/eV per atom
Magnetization: 0.00 μB per formula unit
DFT formation energy: -17 meV/atom
Calculated volume: 688.4 Å³ per cell